Compound: La2ScTeRh
Source: Alexandria via LeMat-Bulk
Functional: GGA-PBE
Structure: optimized geometry

Summary:
**Volume**: 154.52 Å³/cell
**E**: -26.9 eV for the cell shown
**SG**: No. 123
**E_form (uncorrected)**: -0.04 eV/atom
**DOS(E_F)**: 1.55 states/eV per atom

a = 5.833 Å, b = 4.542 Å, c = 5.833 Å
α = 90.00°, β = 90.00°, γ = 90.00°
Positions (direct):
La (0.500, 0.000, 0.000)
La (0.000, 0.000, 0.500)
Rh (0.000, 0.500, 0.000)
Te (0.500, 0.500, 0.500)
Sc (0.000, 0.000, 0.000)